Record 1
Computed, not measured: an optimized crystal structure of Sr3Li2TeO6 at the PBE level of DFT.

Its formation energy from raw total energies is -1.948 eV/atom.

The structure belongs to space group P-3m1 (No. 164); the cell edges are 5.9395, 5.9395 and 6.4911 Å and the angles 90.00°, 90.00° and 120.00°. The distinct sites, in fractional coordinates, are Sr at (0.0000, 0.0000, 0.0000), Sr at (0.3333, 0.6667, 0.6120), Li at (0.3333, 0.6667, 0.1917), Te at (0.0000, 0.0000, 0.5000) and O at (0.1667, 0.3333, 0.2965).



Record 2
Computed, not measured: an optimized crystal structure of Ca2Al4Zn3Ga at the PBE level of DFT.

As for the formation energy: -0.27 eV per atom.

The structure belongs to space group P-4m2 (No. 115); the cell edges are 4.137, 4.137 and 11.519 Å and the angles 90.00°, 90.00° and 90.00°. The distinct sites, in fractional coordinates, are Ca at (0.000, 0.500, 0.247), Al at (0.000, 0.000, 0.000), Al at (0.000, 0.500, 0.640), Al at (0.500, 0.500, 0.000), Zn at (0.000, 0.500, 0.859), Zn at (0.500, 0.500, 0.500) and Ga at (0.000, 0.000, 0.500).



Record 3
Computed, not measured: an optimized crystal structure of LiTb2ThTe5 at the PBE level of DFT.

Its formation energy from raw total energies is -1.156 eV/atom.

The structure belongs to space group Cmc2_1 (No. 36); the cell edges are 4.332, 18.600 and 13.416 Å and the angles 90.00°, 90.00° and 90.00°. The distinct sites, in fractional coordinates, are Li at (0.000, 0.051, 0.000), Tb at (0.000, 0.371, 0.835), Tb at (0.000, 0.394, 0.227), Th at (0.000, 0.300, 0.549), Te at (0.000, 0.005, 0.321), Te at (0.000, 0.132, 0.543), Te at (0.000, 0.183, 0.880), Te at (0.000, 0.217, 0.218) and Te at (0.000, 0.455, 0.613).



Record 4
Computed, not measured: an optimized crystal structure of KNbTe2I at the PBE level of DFT.

Its formation energy from raw total energies is -0.443 eV/atom. The excess energy over the best structure of this formula in the dataset is 0.0 meV/atom.

The structure belongs to space group P4/mmm (No. 123); the cell edges are 5.457, 5.457 and 6.108 Å and the angles 90.00°, 90.00° and 90.00°. The distinct sites, in fractional coordinates, are K at (0.000, 0.000, 0.000), Nb at (0.500, 0.500, 0.500), Te at (0.000, 0.500, 0.500) and I at (0.500, 0.500, 0.000).



no.,calculated total energy (eV per atom)
1,-5.4287
2,-2.8544
3,-4.9672
4,-4.2427